The following is a DFT calculation (PBE) of a relaxed structure of PrHo2Sn.

abc: 3.7956 3.7956 8.3941
angles: 90.00 90.00 90.00
With the nearest neighbours (Å) after each atom.
Atoms (fractional coordinates):
Pr (0.0000, 0.0000, 0.0000)  8 Ho 3.60, 4 Pr 3.80
Ho (0.5000, 0.5000, 0.2863)  4 Sn 3.23, 1 Ho 3.59, 4 Pr 3.60
Ho (0.5000, 0.5000, 0.7137)  4 Sn 3.23, 1 Ho 3.59, 4 Pr 3.60
Sn (0.0000, 0.0000, 0.5000)  8 Ho 3.23

## Properties
Volume ... 30.2 A^3/atom
Energy above the most stable polymorph in this dataset ... 117 meV/atom
Calculated formation energy ... -0.303 eV per atom
Symmetry ... No. 123
Total magnetization ... 0.00 μB/f.u.
Uncorrected energy ... -4.79 eV per atom